No. 1
# NiMo2Se5 PBE relaxed
data_NiMo2Se5
_cell_length_a 3.332
_cell_length_b 13.585
_cell_length_c 15.459
_cell_angle_alpha 90.00
_cell_angle_beta 90.00
_cell_angle_gamma 90.00
_symmetry_space_group_name_H-M 'C m c m'
_symmetry_Int_Tables_number 63
_symmetry_space_group_name_Hall '-C 2c 2'
loop_
_atom_site_label
_atom_site_fract_x
_atom_site_fract_y
_atom_site_fract_z
Ni1 0.000 0.194 0.250
Mo1 0.000 0.285 0.613
Se1 0.000 0.080 0.139
Se2 0.000 0.176 0.750
Se3 0.000 0.344 0.048
# Calculated total energy in eV/atom: -6.01

No. 2
# Gd3HgF5 PBE relaxed
data_Gd3HgF5
_cell_length_a 4.456
_cell_length_b 6.483
_cell_length_c 5.709
_cell_angle_alpha 90.00
_cell_angle_beta 92.66
_cell_angle_gamma 90.00
_symmetry_space_group_name_H-M 'P 1 2 1'
_symmetry_Int_Tables_number 3
_symmetry_space_group_name_Hall 'P 2y'
loop_
_atom_site_label
_atom_site_fract_x
_atom_site_fract_y
_atom_site_fract_z
Gd1 0.000 0.000 0.000
Gd2 0.000 0.269 0.500
Gd3 0.500 0.572 0.000
Hg1 0.500 0.922 0.500
F1 0.000 0.663 0.000
F2 0.217 0.294 0.863
F3 0.316 0.462 0.327
# Calculated total energy in eV/atom: -5.43

No. 3
# Ac5U2S12 PBE relaxed
data_Ac5U2S12
_cell_length_a 16.203
_cell_length_b 7.729
_cell_length_c 9.473
_cell_angle_alpha 90.00
_cell_angle_beta 107.43
_cell_angle_gamma 90.00
_symmetry_space_group_name_H-M 'C 1 2/m 1'
_symmetry_Int_Tables_number 12
_symmetry_space_group_name_Hall '-C 2y'
loop_
_atom_site_label
_atom_site_fract_x
_atom_site_fract_y
_atom_site_fract_z
Ac1 0.000 0.000 0.000
Ac2 0.190 0.500 0.328
Ac3 0.201 0.500 0.861
U1 0.000 0.249 0.500
S1 0.000 0.000 0.311
S2 0.002 0.500 0.697
S3 0.151 0.251 0.071
S4 0.168 0.267 0.584
# Calculated total energy in eV/atom: -6.79

No. 4
# LaZnInSe3 PBE relaxed
data_LaZnInSe3
_cell_length_a 18.216
_cell_length_b 4.324
_cell_length_c 8.856
_cell_angle_alpha 90.00
_cell_angle_beta 118.37
_cell_angle_gamma 90.00
_symmetry_space_group_name_H-M 'C 1 2/m 1'
_symmetry_Int_Tables_number 12
_symmetry_space_group_name_Hall '-C 2y'
loop_
_atom_site_label
_atom_site_fract_x
_atom_site_fract_y
_atom_site_fract_z
La1 0.204 0.000 0.198
Zn1 0.001 0.500 0.192
In1 0.126 0.000 0.618
Se1 0.000 0.000 0.000
Se2 0.000 0.500 0.500
Se3 0.157 0.500 0.932
Se4 0.159 0.500 0.378
# Polymorph energy (0 for the lowest one) in meV per atom: 111
# Calculated total energy in eV/atom: -4.24

No. 5
# Pr2NdZn3Pt2Au PBE relaxed
data_Pr2NdZn3Pt2Au
_cell_length_a 3.988
_cell_length_b 13.055
_cell_length_c 7.544
_cell_angle_alpha 90.00
_cell_angle_beta 90.00
_cell_angle_gamma 90.00
_symmetry_space_group_name_H-M 'A m m 2'
_symmetry_Int_Tables_number 38
_symmetry_space_group_name_Hall 'A 2 -2'
loop_
_atom_site_label
_atom_site_fract_x
_atom_site_fract_y
_atom_site_fract_z
Pr1 0.000 0.205 0.000
Nd1 0.000 0.000 0.615
Zn1 0.500 0.000 0.950
Zn2 0.500 0.127 0.333
Pt1 0.500 0.166 0.704
Au1 0.000 0.000 0.206
# Formation enthalpy at 0 K in meV/atom: -803
# Calculated total energy in eV/atom: -4.52

No. 6
# SmZr2In PBE relaxed
data_SmZr2In
_cell_length_a 4.616
_cell_length_b 4.616
_cell_length_c 4.579
_cell_angle_alpha 90.00
_cell_angle_beta 90.00
_cell_angle_gamma 90.00
_symmetry_space_group_name_H-M 'P 4/m m m'
_symmetry_Int_Tables_number 123
_symmetry_space_group_name_Hall '-P 4 2'
loop_
_atom_site_label
_atom_site_fract_x
_atom_site_fract_y
_atom_site_fract_z
Sm1 0.000 0.000 0.000
Zr1 0.000 0.500 0.500
In1 0.500 0.500 0.000
# Calculated total energy in eV/atom: -6.29

No. 7
# LaDyNi PBE relaxed
data_LaDyNi
_cell_length_a 6.831
_cell_length_b 6.831
_cell_length_c 6.831
_cell_angle_alpha 90.00
_cell_angle_beta 90.00
_cell_angle_gamma 90.00
_symmetry_space_group_name_H-M 'F -4 3 m'
_symmetry_Int_Tables_number 216
_symmetry_space_group_name_Hall 'F -4 2 3'
loop_
_atom_site_label
_atom_site_fract_x
_atom_site_fract_y
_atom_site_fract_z
La1 0.000 0.000 0.000
Dy1 0.000 0.000 0.500
Ni1 0.250 0.250 0.750
# Formation enthalpy at 0 K in meV/atom: -101
# Polymorph energy (0 for the lowest one) in meV per atom: 0
# Calculated total energy in eV/atom: -5.13

No. 8
# YCdFeBi PBE relaxed
data_YCdFeBi
_cell_length_a 7.170
_cell_length_b 7.170
_cell_length_c 7.170
_cell_angle_alpha 90.00
_cell_angle_beta 90.00
_cell_angle_gamma 90.00
_symmetry_space_group_name_H-M 'F -4 3 m'
_symmetry_Int_Tables_number 216
_symmetry_space_group_name_Hall 'F -4 2 3'
loop_
_atom_site_label
_atom_site_fract_x
_atom_site_fract_y
_atom_site_fract_z
Y1 0.000 0.000 0.000
Cd1 0.250 0.250 0.250
Fe1 0.250 0.250 0.750
Bi1 0.000 0.000 0.500
# Polymorph energy (0 for the lowest one) in meV per atom: 68
# Calculated total energy in eV/atom: -4.77

No. 9
# Ba2BeNi PBE relaxed
data_Ba2BeNi
_cell_length_a 7.448
_cell_length_b 7.448
_cell_length_c 7.448
_cell_angle_alpha 90.00
_cell_angle_beta 90.00
_cell_angle_gamma 90.00
_symmetry_space_group_name_H-M 'F -4 3 m'
_symmetry_Int_Tables_number 216
_symmetry_space_group_name_Hall 'F -4 2 3'
loop_
_atom_site_label
_atom_site_fract_x
_atom_site_fract_y
_atom_site_fract_z
Ba1 0.000 0.000 0.000
Ba2 0.250 0.250 0.250
Be1 0.000 0.000 0.500
Ni1 0.250 0.250 0.750
# Calculated total energy in eV/atom: -2.59

No. 10
# Hg3PO4F3 PBE relaxed
data_Hg3PO4F3
_cell_length_a 11.4937
_cell_length_b 11.4937
_cell_length_c 4.1989
_cell_angle_alpha 90.00
_cell_angle_beta 90.00
_cell_angle_gamma 120.00
_symmetry_space_group_name_H-M 'R 3'
_symmetry_Int_Tables_number 146
_symmetry_space_group_name_Hall 'R 3'
loop_
_atom_site_label
_atom_site_fract_x
_atom_site_fract_y
_atom_site_fract_z
Hg1 0.0746 0.5446 0.0000
P1 0.0000 0.0000 0.6410
O1 0.0000 0.0000 0.2770
O2 0.0344 0.8894 0.7533
F1 0.1692 0.3874 0.9570
# Calculated total energy in eV/atom: -4.13

No. 11
# MgTaBiW PBE relaxed
data_MgTaBiW
_cell_length_a 6.764
_cell_length_b 6.764
_cell_length_c 6.764
_cell_angle_alpha 90.00
_cell_angle_beta 90.00
_cell_angle_gamma 90.00
_symmetry_space_group_name_H-M 'F -4 3 m'
_symmetry_Int_Tables_number 216
_symmetry_space_group_name_Hall 'F -4 2 3'
loop_
_atom_site_label
_atom_site_fract_x
_atom_site_fract_y
_atom_site_fract_z
Mg1 0.000 0.000 0.000
Ta1 0.250 0.250 0.250
Bi1 0.000 0.000 0.500
W1 0.250 0.250 0.750
# Polymorph energy (0 for the lowest one) in meV per atom: 343
# Calculated total energy in eV/atom: -6.65

No. 12
# BaSrTl4Pt2 PBE relaxed
data_BaSrTl4Pt2
_cell_length_a 8.437
_cell_length_b 4.565
_cell_length_c 11.238
_cell_angle_alpha 90.00
_cell_angle_beta 90.00
_cell_angle_gamma 90.00
_symmetry_space_group_name_H-M 'A m m 2'
_symmetry_Int_Tables_number 38
_symmetry_space_group_name_Hall 'A 2 -2'
loop_
_atom_site_label
_atom_site_fract_x
_atom_site_fract_y
_atom_site_fract_z
Ba1 0.000 0.000 0.000
Sr1 0.500 0.000 0.870
Tl1 0.202 0.000 0.288
Tl2 0.306 0.000 0.583
Pt1 0.000 0.000 0.715
Pt2 0.500 0.000 0.156
# Calculated total energy in eV/atom: -3.59

Q: The lowest calculated total energy belongs to which entry?
A: Ac5U2S12

Q: Look up the calculated total energy of the eleventh one.
A: -6.65 eV/atom